Record 1
Computed, not measured: a geometry-optimized Dy2ThPd structure at the PBE level of DFT.

Summary:
Symmetry   No. 62
Calculated density   9.781 g/cm³

Unit cell a=6.5340 b=6.9775 c=9.8820 alpha=90.00 beta=90.00 gamma=90.00
Sites, in units of the cell vectors:
Dy1 0.6634 0.8120 0.5596
Dy2 0.8366 0.3120 0.5596
Dy3 0.3366 0.1880 0.4404
Dy4 0.8366 0.3120 0.9404
Dy5 0.1634 0.6880 0.0596
Dy6 0.6634 0.8120 0.9404
Dy7 0.1634 0.6880 0.4404
Dy8 0.3366 0.1880 0.0596
Pd1 0.4273 0.8832 0.2500
Pd2 0.9273 0.6168 0.7500
Pd3 0.5727 0.1168 0.7500
Pd4 0.0727 0.3832 0.2500
Th1 0.3518 0.4757 0.7500
Th2 0.8518 0.0243 0.2500
Th3 0.1482 0.9757 0.7500
Th4 0.6482 0.5243 0.2500

Record 2
Computed, not measured: a geometry-optimized Dy2ThPd9 structure at the PBE level of DFT.

Summary:
Symmetry   No. 123
Calculated density   11.707 g/cm³

Unit cell a=4.1573 b=4.1573 c=12.4325 alpha=90.00 beta=90.00 gamma=90.00
Sites, in units of the cell vectors:
Th1 0.0000 0.0000 0.0000
Dy1 0.0000 0.0000 0.3371
Dy2 0.0000 0.0000 0.6629
Pd1 0.0000 0.5000 0.1683
Pd2 0.5000 0.5000 0.0000
Pd3 0.5000 0.0000 0.8317
Pd4 0.5000 0.5000 0.6659
Pd5 0.5000 0.5000 0.3341
Pd6 0.0000 0.5000 0.5000
Pd7 0.5000 0.0000 0.1683
Pd8 0.5000 0.0000 0.5000
Pd9 0.0000 0.5000 0.8317

Record 3
Computed, not measured: a geometry-optimized DyTh2Pd6 structure at the PBE level of DFT.

Summary:
Symmetry   No. 65
Calculated density   10.629 g/cm³

Unit cell a=3.6483 b=7.6072 c=8.0739 alpha=118.11 beta=90.00 gamma=90.00
Sites, in units of the cell vectors:
Pd1 0.5000 0.6983 0.0000
Pd2 0.0000 0.0542 0.6865
Pd3 0.0000 0.3677 0.3135
Pd4 0.0000 0.9458 0.3135
Pd5 0.5000 0.3017 0.0000
Pd6 0.0000 0.6323 0.6865
Th1 0.5000 0.3045 0.6089
Th2 0.5000 0.6955 0.3911
Dy1 0.0000 0.0000 0.0000

Record 4
Computed, not measured: a geometry-optimized DyTh2Pd5 structure at the PBE level of DFT.

Summary:
Symmetry   No. 55
Calculated density   11.371 g/cm³

Unit cell a=4.8882 b=6.0285 c=11.4834 alpha=90.00 beta=90.00 gamma=90.00
Sites, in units of the cell vectors:
Pd1 0.0000 0.0000 0.5000
Pd2 0.0000 0.1760 0.7287
Pd3 0.0000 0.3240 0.2287
Pd4 0.0000 0.5000 0.0000
Pd5 0.5000 0.3267 0.5919
Pd6 0.0000 0.8240 0.2713
Pd7 0.5000 0.8267 0.9081
Pd8 0.0000 0.6760 0.7713
Pd9 0.5000 0.1733 0.0919
Pd10 0.5000 0.6733 0.4081
Dy1 0.0000 0.0000 0.0000
Dy2 0.0000 0.5000 0.5000
Th1 0.5000 0.6464 0.1521
Th2 0.5000 0.3536 0.8479
Th3 0.5000 0.1464 0.3479
Th4 0.5000 0.8536 0.6521

Record 5
Computed, not measured: a geometry-optimized DyThPd4 structure at the PBE level of DFT.

Summary:
Symmetry   No. 63
Calculated density   11.068 g/cm³

Unit cell a=4.2134 b=5.8276 c=10.2426 alpha=90.00 beta=101.87 gamma=90.00
Sites, in units of the cell vectors:
Th1 0.5801 0.7500 0.1602
Th2 0.4199 0.2500 0.8398
Pd1 0.1481 0.0120 0.2963
Pd2 0.8519 0.5120 0.7037
Pd3 0.0000 0.0000 0.0000
Pd4 0.0000 0.5000 0.0000
Pd5 0.4273 0.7500 0.8547
Pd6 0.1481 0.4880 0.2963
Pd7 0.5727 0.2500 0.1453
Pd8 0.8519 0.9880 0.7037
Dy1 0.2753 0.7500 0.5505
Dy2 0.7247 0.2500 0.4495

Record 6
Computed, not measured: a geometry-optimized Dy2ThPd structure at the PBE level of DFT.

Summary:
Symmetry   No. 166
Calculated density   9.867 g/cm³

Unit cell a=3.6334 b=3.6334 c=9.9886 alpha=79.52 beta=79.52 gamma=60.00
Sites, in units of the cell vectors:
Pd1 0.0000 0.0000 0.0000
Dy1 0.2662 0.2662 0.2015
Dy2 0.7338 0.7338 0.7985
Th1 0.5000 0.5000 0.5000

Record 7
Computed, not measured: a geometry-optimized Dy2ThPd7 structure at the PBE level of DFT.

Summary:
Symmetry   No. 69
Calculated density   10.408 g/cm³

Unit cell a=5.1208 b=5.1208 c=9.4863 alpha=111.55 beta=111.55 gamma=68.84
Sites, in units of the cell vectors:
Dy1 0.6733 0.6733 0.3467
Dy2 0.3267 0.3267 0.6533
Pd1 0.2500 0.7500 0.5000
Pd2 0.4147 0.9147 0.8294
Pd3 0.9147 0.4147 0.8294
Pd4 0.5853 0.0853 0.1706
Pd5 0.7500 0.2500 0.5000
Pd6 0.0853 0.5853 0.1706
Pd7 0.5000 0.5000 0.0000
Th1 0.0000 0.0000 0.0000

Record 8
Computed, not measured: a geometry-optimized DyTh2Pd7 structure at the PBE level of DFT.

Summary:
Symmetry   No. 69
Calculated density   10.731 g/cm³

Unit cell a=5.1772 b=5.1772 c=9.0466 alpha=100.14 beta=100.14 gamma=112.64
Sites, in units of the cell vectors:
Th1 0.3324 0.3324 0.6648
Th2 0.6676 0.6676 0.3352
Dy1 0.0000 0.0000 0.0000
Pd1 0.0834 0.5834 0.1667
Pd2 0.4166 0.9166 0.8333
Pd3 0.2500 0.7500 0.5000
Pd4 0.7500 0.2500 0.5000
Pd5 0.5834 0.0834 0.1667
Pd6 0.9166 0.4166 0.8333
Pd7 0.5000 0.5000 0.0000

Record 9
Computed, not measured: a geometry-optimized DyTiPd6 structure at the PBE level of DFT.

Summary:
Symmetry   No. 123
Calculated density   10.816 g/cm³

Unit cell a=4.0277 b=4.0277 c=8.0335 alpha=90.00 beta=90.00 gamma=90.00
Sites, in units of the cell vectors:
Pd1 0.5000 0.0000 0.2661
Pd2 0.0000 0.5000 0.2661
Pd3 0.5000 0.5000 0.5000
Pd4 0.0000 0.5000 0.7339
Pd5 0.5000 0.0000 0.7339
Pd6 0.5000 0.5000 0.0000
Ti1 0.0000 0.0000 0.5000
Dy1 0.0000 0.0000 0.0000

Record 10
Computed, not measured: a geometry-optimized DyTiPd5 structure at the PBE level of DFT.

Summary:
Symmetry   No. 123
Calculated density   9.950 g/cm³

Unit cell a=4.1145 b=4.1145 c=7.3192 alpha=90.00 beta=90.00 gamma=90.00
Sites, in units of the cell vectors:
Pd1 0.0000 0.5000 0.7910
Pd2 0.0000 0.5000 0.2090
Pd3 0.5000 0.0000 0.2090
Pd4 0.5000 0.5000 0.5000
Pd5 0.5000 0.0000 0.7910
Ti1 0.5000 0.5000 0.0000
Dy1 0.0000 0.0000 0.5000

Record 11
Computed, not measured: a geometry-optimized DyTi2Pd8 structure at the PBE level of DFT.

Summary:
Symmetry   No. 12
Calculated density   10.254 g/cm³

Unit cell a=4.0192 b=6.5600 c=7.4458 alpha=107.40 beta=105.66 gamma=90.00
Sites, in units of the cell vectors:
Ti1 0.2215 0.6661 0.4431
Ti2 0.7785 0.3339 0.5569
Pd1 0.9557 0.2829 0.9114
Pd2 0.6832 0.9161 0.3665
Pd3 0.6061 0.4672 0.2122
Pd4 0.8494 0.7867 0.6987
Pd5 0.3168 0.0839 0.6335
Pd6 0.1506 0.2133 0.3013
Pd7 0.3939 0.5328 0.7878
Pd8 0.0443 0.7171 0.0886
Dy1 0.5000 0.0000 0.0000

Record 12
Computed, not measured: a geometry-optimized Dy3TiPd12 structure at the PBE level of DFT.

Summary:
Symmetry   No. 123
Calculated density   11.126 g/cm³

Unit cell a=4.0785 b=4.0785 c=16.2617 alpha=90.00 beta=90.00 gamma=90.00
Sites, in units of the cell vectors:
Pd1 0.5000 0.5000 0.2424
Pd2 0.5000 0.0000 0.8867
Pd3 0.0000 0.5000 0.6286
Pd4 0.5000 0.5000 0.5000
Pd5 0.0000 0.5000 0.3714
Pd6 0.0000 0.5000 0.1133
Pd7 0.5000 0.0000 0.1133
Pd8 0.0000 0.5000 0.8867
Pd9 0.5000 0.0000 0.3714
Pd10 0.5000 0.5000 0.7576
Pd11 0.5000 0.0000 0.6286
Pd12 0.5000 0.5000 0.0000
Dy1 0.0000 0.0000 0.2445
Dy2 0.0000 0.0000 0.5000
Dy3 0.0000 0.0000 0.7555
Ti1 0.0000 0.0000 0.0000

Record 13
Computed, not measured: a geometry-optimized Dy2TiPd9 structure at the PBE level of DFT.

Summary:
Symmetry   No. 123
Calculated density   11.033 g/cm³

Unit cell a=4.0568 b=4.0568 c=12.1687 alpha=90.00 beta=90.00 gamma=90.00
Sites, in units of the cell vectors:
Pd1 0.5000 0.5000 0.0000
Pd2 0.5000 0.0000 0.1526
Pd3 0.0000 0.5000 0.8474
Pd4 0.5000 0.0000 0.8474
Pd5 0.5000 0.5000 0.6738
Pd6 0.5000 0.5000 0.3262
Pd7 0.5000 0.0000 0.5000
Pd8 0.0000 0.5000 0.1526
Pd9 0.0000 0.5000 0.5000
Dy1 0.0000 0.0000 0.3290
Dy2 0.0000 0.0000 0.6710
Ti1 0.0000 0.0000 0.0000

Record 14
Computed, not measured: a geometry-optimized Dy12TlPd5 structure at the PBE level of DFT.

Summary:
Symmetry   No. 71
Calculated density   9.435 g/cm³

Unit cell a=8.5095 b=8.5095 c=8.5094 alpha=105.83 beta=112.07 gamma=110.57
Sites, in units of the cell vectors:
Pd1 0.0000 0.0000 0.0000
Pd2 0.5000 0.1333 0.6333
Pd3 0.3494 0.3494 0.0000
Pd4 0.5000 0.8667 0.3667
Pd5 0.6506 0.6506 0.0000
Dy1 0.4654 0.1799 0.2855
Dy2 0.1903 0.4168 0.2265
Dy3 0.7006 0.3258 0.0264
Dy4 0.1903 0.9639 0.7735
Dy5 0.2994 0.6742 0.9736
Dy6 0.2994 0.3258 0.6252
Dy7 0.5346 0.8201 0.7145
Dy8 0.1056 0.8201 0.2855
Dy9 0.8944 0.1799 0.7145
Dy10 0.7006 0.6742 0.3748
Dy11 0.8097 0.5832 0.7735
Dy12 0.8097 0.0361 0.2265
Tl1 0.0000 0.5000 0.5000

Record 15
Computed, not measured: a geometry-optimized DyTlPd2 structure at the PBE level of DFT.

Summary:
Symmetry   No. 123
Calculated density   11.806 g/cm³

Unit cell a=3.7304 b=4.6752 c=4.6752 alpha=90.00 beta=90.00 gamma=90.00
Sites, in units of the cell vectors:
Tl1 0.5000 0.0000 0.0000
Pd1 0.0000 0.0000 0.5000
Pd2 0.0000 0.5000 0.0000
Dy1 0.5000 0.5000 0.5000

Record 16
Computed, not measured: a geometry-optimized DyTl3Pd7 structure at the PBE level of DFT.

Summary:
Symmetry   No. 12
Calculated density   11.418 g/cm³

Unit cell a=5.6210 b=7.4658 c=7.4658 alpha=82.10 beta=121.94 gamma=121.94
Sites, in units of the cell vectors:
Pd1 0.3514 0.2005 0.2005
Pd2 0.6714 0.9328 0.4147
Pd3 0.6486 0.7995 0.7995
Pd4 0.6714 0.4147 0.9328
Pd5 0.3286 0.5853 0.0672
Pd6 0.0000 0.5000 0.5000
Pd7 0.3286 0.0672 0.5853
Tl1 0.5000 0.0000 0.0000
Tl2 0.0000 0.7730 0.2270
Tl3 0.0000 0.2270 0.7730
Dy1 0.5000 0.5000 0.5000

Record 17
Computed, not measured: a geometry-optimized Dy4TlPd3 structure at the PBE level of DFT.

Summary:
Symmetry   No. 123
Calculated density   10.584 g/cm³

Unit cell a=5.0455 b=7.2283 c=10.0974 alpha=90.00 beta=90.00 gamma=90.00
Sites, in units of the cell vectors:
Pd1 0.4991 0.5000 0.2500
Pd2 0.5009 0.5000 0.7500
Pd3 0.5003 0.0000 0.7500
Pd4 0.4997 0.0000 0.2500
Pd5 0.0000 0.0000 0.0000
Pd6 0.0000 0.0000 0.5000
Dy1 0.5000 0.2365 0.0000
Dy2 0.0004 0.2365 0.7500
Dy3 0.5000 0.7635 0.0000
Dy4 0.9996 0.7635 0.2500
Dy5 0.9996 0.2365 0.2500
Dy6 0.5000 0.2365 0.5000
Dy7 0.0004 0.7635 0.7500
Dy8 0.5000 0.7635 0.5000
Tl1 0.0000 0.5000 0.0000
Tl2 0.0000 0.5000 0.5000

Record 18
Computed, not measured: a geometry-optimized DyTlPd structure at the PBE level of DFT.

Summary:
Symmetry   No. 189
Calculated density   11.645 g/cm³

Unit cell a=3.7566 b=7.8891 c=7.8891 alpha=120.00 beta=90.00 gamma=90.00
Sites, in units of the cell vectors:
Dy1 0.5000 0.0000 0.5987
Dy2 0.5000 0.5987 0.0000
Dy3 0.5000 0.4013 0.4013
Tl1 0.0000 0.2687 0.0000
Tl2 0.0000 0.0000 0.2687
Tl3 0.0000 0.7313 0.7313
Pd1 0.0000 0.6667 0.3333
Pd2 0.5000 0.0000 0.0000
Pd3 0.0000 0.3333 0.6667

Record 19
Computed, not measured: a geometry-optimized DyTl3Pd12 structure at the PBE level of DFT.

Summary:
Symmetry   No. 123
Calculated density   12.400 g/cm³

Unit cell a=4.0866 b=4.0866 c=16.4604 alpha=90.00 beta=90.00 gamma=90.00
Sites, in units of the cell vectors:
Pd1 0.5000 0.5000 0.7506
Pd2 0.5000 0.0000 0.3757
Pd3 0.5000 0.5000 0.5000
Pd4 0.0000 0.5000 0.6243
Pd5 0.5000 0.0000 0.8738
Pd6 0.0000 0.5000 0.3757
Pd7 0.5000 0.5000 0.0000
Pd8 0.5000 0.5000 0.2494
Pd9 0.0000 0.5000 0.8738
Pd10 0.0000 0.5000 0.1262
Pd11 0.5000 0.0000 0.1262
Pd12 0.5000 0.0000 0.6243
Tl1 0.0000 0.0000 0.5000
Tl2 0.0000 0.0000 0.2529
Tl3 0.0000 0.0000 0.7471
Dy1 0.0000 0.0000 0.0000

Record 20
Computed, not measured: a geometry-optimized DyTlPd structure at the PBE level of DFT.

Summary:
Symmetry   No. 194
Calculated density   11.580 g/cm³

Unit cell a=5.0382 b=5.0382 c=6.1753 alpha=90.00 beta=90.00 gamma=120.01
Sites, in units of the cell vectors:
Pd1 0.6668 0.8332 0.2500
Pd2 0.3332 0.1668 0.7500
Dy1 0.3335 0.1665 0.2500
Dy2 0.6665 0.8335 0.7500
Tl1 0.0000 0.5000 0.5000
Tl2 0.0000 0.5000 0.0000

Q: Which N(E_F) values were calculated for the entries above? A: 5.24, 7.62, 5.05, 5.39, 2.18, 5.34, 6.64, 7.03, 4.74, 3.32, 7.13, 9.09, 8.39, 16.74, 1.86, 5.49, 4.79, 2.39, 17.57, 1.88, in states/eV/f.u..
Q: Which calculated volume values were calculated for the entries above? A: 28.2, 17.9, 22.0, 21.2, 20.5, 27.9, 20.8, 21.2, 16.3, 17.7, 16.3, 16.9, 16.7, 26.3, 20.4, 20.1, 23.0, 22.5, 17.2, 22.6, in A^3/atom.
Q: Which formation energy from the elements values were calculated for the entries above? A: -407, -929, -629, -818, -900, -272, -717, -711, -766, -615, -653, -822, -800, -567, -560, -231, -717, -652, -362, -580, in meV per atom.